1.
# SrTePd3, relaxed, DFT PBE
# E_form (uncorrected) ... 747 meV/atom
# Energy ... -16.667 eV for the cell shown
# ΔE to the lowest computed polymorph ... 6.73 eV per formula unit
# Spin magnetization ... 0.00 μB per cell
# SG ... Pm-3m, No. 221
data_SrTePd3
_chemical_formula_sum 'Sr1 Te1 Pd3'
_symmetry_space_group_name_H-M 'P 1'
_symmetry_Int_Tables_number 1
_cell_length_a 5.154
_cell_length_b 5.154
_cell_length_c 5.154
_cell_angle_alpha 90.00
_cell_angle_beta 90.00
_cell_angle_gamma 90.00
loop_
_symmetry_equiv_pos_as_xyz
'x,y,z'
loop_
_atom_site_label
_atom_site_type_symbol
_atom_site_fract_x
_atom_site_fract_y
_atom_site_fract_z
_atom_site_occupancy
Sr1 Sr 0.000 0.000 0.000 1
Te1 Te 0.500 0.500 0.500 1
Pd1 Pd 0.000 0.500 0.000 1
Pd2 Pd 0.000 0.000 0.500 1
Pd3 Pd 0.500 0.000 0.000 1

=====

2.
# Sr2TePd, relaxed, DFT PBE
# E_form (uncorrected) ... -1035 meV/atom
# Energy ... -15.837 eV for the cell shown
# Spin magnetization ... 0.00 μB per cell
# SG ... R-3m, No. 166
data_Sr2TePd
_chemical_formula_sum 'Sr2 Te1 Pd1'
_symmetry_space_group_name_H-M 'P 1'
_symmetry_Int_Tables_number 1
_cell_length_a 4.588
_cell_length_b 4.588
_cell_length_c 7.987
_cell_angle_alpha 73.31
_cell_angle_beta 73.31
_cell_angle_gamma 60.00
loop_
_symmetry_equiv_pos_as_xyz
'x,y,z'
loop_
_atom_site_label
_atom_site_type_symbol
_atom_site_fract_x
_atom_site_fract_y
_atom_site_fract_z
_atom_site_occupancy
Sr1 Sr 0.245 0.245 0.265 1
Sr2 Sr 0.755 0.755 0.735 1
Te1 Te 0.000 0.000 0.000 1
Pd1 Pd 0.500 0.500 0.500 1

=====

3.
# SrTe2Pd5, relaxed, DFT PBE
# E_form (uncorrected) ... -510 meV/atom
# Energy ... -38.007 eV for the cell shown
# Spin magnetization ... 0.00 μB per cell
# SG ... Immm, No. 71
data_SrTe2Pd5
_chemical_formula_sum 'Sr1 Te2 Pd5'
_symmetry_space_group_name_H-M 'P 1'
_symmetry_Int_Tables_number 1
_cell_length_a 4.349
_cell_length_b 6.764
_cell_length_c 6.764
_cell_angle_alpha 66.28
_cell_angle_beta 71.25
_cell_angle_gamma 71.25
loop_
_symmetry_equiv_pos_as_xyz
'x,y,z'
loop_
_atom_site_label
_atom_site_type_symbol
_atom_site_fract_x
_atom_site_fract_y
_atom_site_fract_z
_atom_site_occupancy
Sr1 Sr 0.000 0.000 0.000 1
Te1 Te 0.753 0.747 0.747 1
Te2 Te 0.247 0.253 0.253 1
Pd1 Pd 0.000 0.500 0.500 1
Pd2 Pd 0.637 0.551 0.176 1
Pd3 Pd 0.363 0.449 0.824 1
Pd4 Pd 0.363 0.824 0.449 1
Pd5 Pd 0.637 0.176 0.551 1

=====

4.
# SrTe3Pd3, relaxed, DFT PBE
# E_form (uncorrected) ... -501 meV/atom
# Energy ... -60.378 eV for the cell shown
# Spin magnetization ... 0.00 μB per cell
# SG ... Pm-3n, No. 223
data_SrTe3Pd3
_chemical_formula_sum 'Sr2 Te6 Pd6'
_symmetry_space_group_name_H-M 'P 1'
_symmetry_Int_Tables_number 1
_cell_length_a 7.406
_cell_length_b 7.406
_cell_length_c 7.406
_cell_angle_alpha 90.00
_cell_angle_beta 90.00
_cell_angle_gamma 90.00
loop_
_symmetry_equiv_pos_as_xyz
'x,y,z'
loop_
_atom_site_label
_atom_site_type_symbol
_atom_site_fract_x
_atom_site_fract_y
_atom_site_fract_z
_atom_site_occupancy
Sr1 Sr 0.500 0.500 0.500 1
Sr2 Sr 0.000 0.000 0.000 1
Te1 Te 0.000 0.250 0.500 1
Te2 Te 0.000 0.750 0.500 1
Te3 Te 0.500 0.000 0.750 1
Te4 Te 0.750 0.500 0.000 1
Te5 Te 0.500 0.000 0.250 1
Te6 Te 0.250 0.500 0.000 1
Pd1 Pd 0.250 0.000 0.500 1
Pd2 Pd 0.000 0.500 0.250 1
Pd3 Pd 0.500 0.750 0.000 1
Pd4 Pd 0.750 0.000 0.500 1
Pd5 Pd 0.000 0.500 0.750 1
Pd6 Pd 0.500 0.250 0.000 1

=====

5.
# SrTePd, relaxed, DFT PBE
# E_form (uncorrected) ... -1127 meV/atom
# Energy ... -26.795 eV for the cell shown
# Spin magnetization ... 0.00 μB per cell
# SG ... I4_1md, No. 109
data_SrTePd
_chemical_formula_sum 'Sr2 Te2 Pd2'
_symmetry_space_group_name_H-M 'P 1'
_symmetry_Int_Tables_number 1
_cell_length_a 4.510
_cell_length_b 8.771
_cell_length_c 4.511
_cell_angle_alpha 75.10
_cell_angle_beta 90.02
_cell_angle_gamma 75.10
loop_
_symmetry_equiv_pos_as_xyz
'x,y,z'
loop_
_atom_site_label
_atom_site_type_symbol
_atom_site_fract_x
_atom_site_fract_y
_atom_site_fract_z
_atom_site_occupancy
Sr1 Sr 0.921 0.938 0.235 1
Sr2 Sr 0.671 0.438 0.485 1
Te1 Te 0.086 0.608 0.900 1
Te2 Te 0.336 0.108 0.650 1
Pd1 Pd 0.249 0.281 0.063 1
Pd2 Pd 0.499 0.781 0.813 1

=====

6.
# SrTePd, relaxed, DFT PBE
# E_form (uncorrected) ... -1030 meV/atom
# Energy ... -26.210 eV for the cell shown
# Spin magnetization ... 0.00 μB per cell
# SG ... P2_1/m, No. 11
data_SrTePd
_chemical_formula_sum 'Sr2 Te2 Pd2'
_symmetry_space_group_name_H-M 'P 1'
_symmetry_Int_Tables_number 1
_cell_length_a 4.716
_cell_length_b 7.256
_cell_length_c 4.716
_cell_angle_alpha 90.00
_cell_angle_beta 90.00
_cell_angle_gamma 89.99
loop_
_symmetry_equiv_pos_as_xyz
'x,y,z'
loop_
_atom_site_label
_atom_site_type_symbol
_atom_site_fract_x
_atom_site_fract_y
_atom_site_fract_z
_atom_site_occupancy
Sr1 Sr 0.843 0.925 0.182 1
Sr2 Sr 0.343 0.515 0.682 1
Te1 Te 0.844 0.453 0.182 1
Te2 Te 0.343 0.987 0.682 1
Pd1 Pd 0.842 0.220 0.682 1
Pd2 Pd 0.345 0.220 0.182 1

=====

7.
# SrTePd, relaxed, DFT PBE
# E_form (uncorrected) ... -983 meV/atom
# Energy ... -25.934 eV for the cell shown
# Spin magnetization ... 0.00 μB per cell
# SG ... C2/m, No. 12
data_SrTePd
_chemical_formula_sum 'Sr2 Te2 Pd2'
_symmetry_space_group_name_H-M 'P 1'
_symmetry_Int_Tables_number 1
_cell_length_a 4.695
_cell_length_b 6.509
_cell_length_c 6.509
_cell_angle_alpha 82.59
_cell_angle_beta 68.85
_cell_angle_gamma 68.86
loop_
_symmetry_equiv_pos_as_xyz
'x,y,z'
loop_
_atom_site_label
_atom_site_type_symbol
_atom_site_fract_x
_atom_site_fract_y
_atom_site_fract_z
_atom_site_occupancy
Sr1 Sr 0.154 0.948 0.665 1
Sr2 Sr 0.665 0.437 0.154 1
Te1 Te 0.411 0.986 0.117 1
Te2 Te 0.409 0.399 0.703 1
Pd1 Pd 0.911 0.856 0.246 1
Pd2 Pd 0.909 0.529 0.573 1

=====

8.
# SrTePd, relaxed, DFT PBE
# E_form (uncorrected) ... -1101 meV/atom
# Energy ... -26.636 eV for the cell shown
# Spin magnetization ... 0.00 μB per cell
# SG ... R3m, No. 160
data_SrTePd
_chemical_formula_sum 'Sr2 Te2 Pd2'
_symmetry_space_group_name_H-M 'P 1'
_symmetry_Int_Tables_number 1
_cell_length_a 4.692
_cell_length_b 9.234
_cell_length_c 4.692
_cell_angle_alpha 104.72
_cell_angle_beta 120.00
_cell_angle_gamma 89.96
loop_
_symmetry_equiv_pos_as_xyz
'x,y,z'
loop_
_atom_site_label
_atom_site_type_symbol
_atom_site_fract_x
_atom_site_fract_y
_atom_site_fract_z
_atom_site_occupancy
Sr1 Sr 0.623 0.936 0.824 1
Sr2 Sr 0.782 0.417 0.144 1
Te1 Te 0.207 0.687 0.992 1
Te2 Te 0.374 0.190 0.326 1
Pd1 Pd 0.036 0.178 0.651 1
Pd2 Pd 0.894 0.747 0.365 1

=====

9.
# Sr3TePd, relaxed, DFT PBE
# E_form (uncorrected) ... -640 meV/atom
# Energy ... -16.582 eV for the cell shown
# ΔE to the lowest computed polymorph ... 0.00 eV per formula unit
# Spin magnetization ... 0.00 μB per cell
# SG ... Pm-3m, No. 221
data_Sr3TePd
_chemical_formula_sum 'Sr3 Te1 Pd1'
_symmetry_space_group_name_H-M 'P 1'
_symmetry_Int_Tables_number 1
_cell_length_a 5.842
_cell_length_b 5.842
_cell_length_c 5.842
_cell_angle_alpha 90.00
_cell_angle_beta 90.00
_cell_angle_gamma 90.00
loop_
_symmetry_equiv_pos_as_xyz
'x,y,z'
loop_
_atom_site_label
_atom_site_type_symbol
_atom_site_fract_x
_atom_site_fract_y
_atom_site_fract_z
_atom_site_occupancy
Sr1 Sr 0.000 0.500 0.000 1
Sr2 Sr 0.000 0.000 0.500 1
Sr3 Sr 0.500 0.000 0.000 1
Te1 Te 0.500 0.500 0.500 1
Pd1 Pd 0.000 0.000 0.000 1

=====

10.
# SrTePd, relaxed, DFT PBE
# E_form (uncorrected) ... -1145 meV/atom
# Energy ... -13.451 eV for the cell shown
# Spin magnetization ... 0.00 μB per cell
# SG ... P-6m2, No. 187
data_SrTePd
_chemical_formula_sum 'Sr1 Te1 Pd1'
_symmetry_space_group_name_H-M 'P 1'
_symmetry_Int_Tables_number 1
_cell_length_a 4.364
_cell_length_b 4.654
_cell_length_c 4.654
_cell_angle_alpha 120.00
_cell_angle_beta 90.00
_cell_angle_gamma 90.00
loop_
_symmetry_equiv_pos_as_xyz
'x,y,z'
loop_
_atom_site_label
_atom_site_type_symbol
_atom_site_fract_x
_atom_site_fract_y
_atom_site_fract_z
_atom_site_occupancy
Sr1 Sr 0.667 0.667 0.333 1
Te1 Te 0.167 0.333 0.667 1
Pd1 Pd 0.166 0.000 0.000 1